The following is a DFT calculation (PBE) of a relaxed Ho2Zn5Hg crystal.

Properties
* energy of formation from the pure elements: -2.602 eV/f.u.
* density: 9.07 g/cm3
* total magnetization: 0.00 μB per formula unit
* volume: 19.6 Å³/atom

Cell: 4.2859 8.3740 9.0486 Å, 90.00 90.00 104.83°
Positions (direct):
Hg 0.4495 0.8989 0.7500
Hg 0.5505 0.1011 0.2500
Zn 0.6534 0.3069 0.4798
Zn 0.1878 0.3756 0.6084
Zn 0.1878 0.3756 0.8916
Zn 0.6102 0.2204 0.7500
Zn 0.3898 0.7796 0.2500
Zn 0.8122 0.6244 0.3916
Zn 0.6534 0.3069 0.0202
Zn 0.3466 0.6931 0.5202
Zn 0.3466 0.6931 0.9798
Zn 0.8122 0.6244 0.1084
Ho 0.0000 0.0000 0.0000
Ho 0.1996 0.3992 0.2500
Ho 0.8004 0.6008 0.7500
Ho 0.0000 0.0000 0.5000



The following is a DFT calculation (PBE) of a relaxed FeAg2SnS4 crystal.

Properties
* density: 4.63 g/cm3
* E_form (uncorrected): -0.2434 eV per atom
* total magnetization: 4.02 μB per formula unit
* volume: 23.2 Å³/atom

Cell: 7.1411 7.1411 7.1411 Å, 133.92 133.92 67.21°
Site moments in Bohr magnetons follow the coordinates.
Positions (direct):
Ag 0.2500 0.7500 0.5000  0.06
Ag 0.7500 0.2500 0.5000  0.06
Sn 0.5000 0.5000 0.0000  0.00
Fe 0.0000 0.0000 0.0000  3.19
S 0.1205 0.6511 0.0000  0.07
S 0.8795 0.8795 0.5306  0.07
S 0.6511 0.1205 0.0000  0.07
S 0.3489 0.3489 0.4694  0.07



The following is a DFT calculation (PBE) of a relaxed Rb3Nd3ScS8 crystal.

Properties
* density: 3.58 g/cm3
* E_form (uncorrected): -1.6989 eV per atom
* total magnetization: 0.00 μB per formula unit
* volume: 30.6 Å³/atom

Cell: 8.2280 8.2321 9.1662 Å, 116.74 90.01 119.98°
Positions (direct):
S 0.7503 0.9675 0.6846
S 0.2172 0.9675 0.6846
S 0.2497 0.0325 0.3154
S 0.7827 0.5655 0.3154
S 0.2173 0.4345 0.6846
S 0.7828 0.0325 0.3154
S 0.2671 0.5341 0.3013
S 0.7329 0.4659 0.6987
Rb 0.5000 0.5000 0.0000
Rb 0.0000 0.5000 0.0000
Rb 0.0000 0.0000 0.0000
Nd 0.5000 0.0000 0.5000
Nd 0.0000 0.5000 0.5000
Nd 0.5000 0.5000 0.5000
Sc 0.0000 0.0000 0.5000



The following is a DFT calculation (PBE) of a relaxed CoHg2As crystal.

Properties
* energy of formation from the pure elements: 2.031 eV/f.u.
* density: 11.51 g/cm3
* total magnetization: 1.45 μB per formula unit
* volume: 19.3 Å³/atom

Cell: 9.1610 9.1610 9.1610 Å, 19.80 19.80 19.80°
Site moments in Bohr magnetons follow the coordinates.
Positions (direct):
Hg 0.0083 0.0083 0.0083  -0.02
Hg 0.4917 0.4917 0.4917  -0.02
As 0.2500 0.2500 0.2500  -0.01
Co 0.7500 0.7500 0.7500  1.55



Number 1: E -2.30 eV/atom. Number 2: E -4.58 eV/atom. Number 3: E -5.47 eV/atom. Number 4: E -2.58 eV/atom.